A plane-wave DFT calculation with PBE-GGA was carried out for a geometry-optimized Er6Tm2Th structure.

The structure in extended XYZ format:
```
9
Lattice="6.8319 0.0000 0.0000 3.4159 5.9166 0.0000 3.4159 1.9722 7.7090" Properties=species:S:1:pos:R:3 pbc="T T T"
Er 1.6956 0.9812 2.5390
Er 3.4179 3.9575 2.5390
Er 5.1343 0.9779 2.5390
Er 6.8296 5.8697 5.1106
Er 8.5004 2.9837 5.1106
Er 5.1657 2.9798 5.1106
Tm 6.8319 3.9444 1.9865
Tm 10.2478 5.9166 5.9902
Th 6.8319 3.9444 7.6419
```

Results
Space group ... R3m, No. 160
Total magnetization ... 0.011 Bohr magnetons per cell
E ... -39.8 eV/f.u.